<a>
# RbAsPtO

A relaxed structure of RbAsPtO (PBE-GGA, OQMD).

a b c (Å): 4.303 4.303 10.721
angles (deg): 90.00 90.00 90.00
Last column: magnetic moment on the atom in μB.
Atoms (fractional coordinates):
As (0.000, 0.500, 0.382)  0.00
As (0.500, 0.000, 0.618)  0.00
O (0.000, 0.000, 0.000)  -0.92
O (0.500, 0.500, 0.000)  -0.92
Pt (0.000, 0.000, 0.500)  -0.01
Pt (0.500, 0.500, 0.500)  -0.01
Rb (0.500, 0.000, 0.154)  -0.01
Rb (0.000, 0.500, 0.846)  -0.01

Calculated values
space-group type: P4/nmm



<b>
# RbAsPtO

A relaxed structure of RbAsPtO (PBE-GGA, OQMD).

a b c (Å): 3.513 8.057 6.307
angles (deg): 90.00 90.00 90.00
Atoms (fractional coordinates):
As (0.000, 0.375, 0.498)
As (0.000, 0.625, 0.998)
O (0.500, 0.999, 0.254)
O (0.500, 0.001, 0.754)
Pt (0.500, 0.826, 0.000)
Pt (0.500, 0.174, 0.500)
Rb (0.000, 0.198, 0.002)
Rb (0.000, 0.802, 0.502)

Calculated values
space-group type: Pmc2_1



<c>
# RbAsPtO

A relaxed structure of RbAsPtO (PBE-GGA, OQMD).

a b c (Å): 4.619 4.619 9.126
angles (deg): 90.00 90.00 90.00
Atoms (fractional coordinates):
As (0.250, 0.250, 0.017)
As (0.750, 0.750, 0.983)
O (0.750, 0.250, 0.000)
O (0.250, 0.750, 0.000)
Pt (0.250, 0.250, 0.268)
Pt (0.750, 0.750, 0.732)
Rb (0.750, 0.250, 0.500)
Rb (0.250, 0.750, 0.500)

Calculated values
space-group type: P4/nmm



If we sort the structures by their calculated energies, the order from most to least stable is <b>, <a>, <c>.